Entry 1:
Crystalline LiHoAu2 at its relaxed geometry, computed with PBE.

```
data_LiHoAu2
_chemical_formula_sum 'Li1 Ho1 Au2'
_cell_length_a 4.750
_cell_length_b 4.750
_cell_length_c 3.594
_cell_angle_alpha 90.00
_cell_angle_beta 90.00
_cell_angle_gamma 90.00
_symmetry_space_group_name_H-M 'P 4/m m m'
_symmetry_Int_Tables_number 123
_symmetry_space_group_name_Hall '-P 4 2'
loop_
_atom_site_label
_atom_site_type_symbol
_atom_site_fract_x
_atom_site_fract_y
_atom_site_fract_z
Li1 Li 0.000 0.000 0.000
Ho1 Ho 0.500 0.500 0.000
Au1 Au 0.000 0.500 0.500
```

Properties
ΔH_f (0 K) ... -665 meV/atom
Size of the total moment ... 0.00 μB per formula unit

=====

Entry 2:
Crystalline NaBeNiOs2 at its relaxed geometry, computed with PBE.

```
data_NaBeNiOs2
_chemical_formula_sum 'Na1 Be1 Ni1 Os2'
_cell_length_a 4.432
_cell_length_b 4.432
_cell_length_c 4.584
_cell_angle_alpha 90.00
_cell_angle_beta 90.00
_cell_angle_gamma 90.00
_symmetry_space_group_name_H-M 'P 4/m m m'
_symmetry_Int_Tables_number 123
_symmetry_space_group_name_Hall '-P 4 2'
loop_
_atom_site_label
_atom_site_type_symbol
_atom_site_fract_x
_atom_site_fract_y
_atom_site_fract_z
Na1 Na 0.000 0.000 0.000
Be1 Be 0.500 0.500 0.000
Ni1 Ni 0.000 0.000 0.500
Os1 Os 0.000 0.500 0.500
```

Properties
ΔH_f (0 K) ... 1816 meV/atom
Size of the total moment ... 0.00 μB per formula unit

=====

Look up the ΔH_f (0 K) of the first one. -665 meV/atom

=====

The highest ΔH_f (0 K) belongs to which entry? NaBeNiOs2